(1)
Density functional theory data (GGA-PBE) for crystalline SrH2BrF8 at its relaxed geometry.

a = 3.9451 Å, b = 5.2491 Å, c = 8.8690 Å
α = 91.20°, β = 89.74°, γ = 76.45°
Fractional positions:
H1 0.6878 0.5302 0.3503
H2 0.3122 0.4698 0.6497
F1 0.0788 0.8240 0.1807
F2 0.2096 0.6630 0.6902
F3 0.5826 0.7570 0.4103
F4 0.9212 0.1760 0.8193
F5 0.7178 0.7763 0.9387
F6 0.7904 0.3370 0.3098
F7 0.4174 0.2430 0.5897
F8 0.2822 0.2237 0.0613
Br1 0.0000 0.0000 0.0000
Sr1 0.0000 0.0000 0.5000

Summary:
D(E_F) in states/eV/atom: 0.523
Spin magnetization in μB per formula unit: 0.000
Space group: No. 2
Electronic total energy in eV for the cell shown: -47.51
Mass density in Mg/m³: 2.99

=====

(2)
Density functional theory data (GGA-PBE) for crystalline TbDyEr at its relaxed geometry.

a = 3.4943 Å, b = 6.0420 Å, c = 9.4734 Å
α = 90.07°, β = 89.88°, γ = 73.22°
Fractional positions:
Tb1 0.5884 0.3618 0.0935
Tb2 0.8571 0.8299 0.9468
Er1 0.1304 0.2792 0.7699
Er2 0.3151 0.9125 0.2704
Dy1 0.5910 0.3613 0.4486
Dy2 0.8545 0.8303 0.5918

Summary:
D(E_F) in states/eV/atom: 1.725
Spin magnetization in μB per formula unit: 0.000
Space group: No. 2
Electronic total energy in eV for the cell shown: -26.85
Formation energy from the elements in eV per atom: 0.1226
Mass density in Mg/m³: 8.48

=====

(3)
Density functional theory data (GGA-PBE) for crystalline CaTc2Hg at its relaxed geometry.

a = 7.9979 Å, b = 7.9979 Å, c = 6.2399 Å
α = 50.14°, β = 50.14°, γ = 90.00°
Fractional positions:
Tc1 0.6547 0.1250 0.2500
Tc2 0.0953 0.6250 0.2500
Tc3 0.8750 0.9047 0.7500
Tc4 0.3750 0.3453 0.7500
Hg1 0.0000 0.0000 0.0000
Hg2 0.7500 0.2500 0.5000
Ca1 0.5000 0.5000 0.0000
Ca2 0.2500 0.7500 0.5000

Summary:
D(E_F) in states/eV/atom: 0.969
Spin magnetization in μB per formula unit: 1.395
Space group: No. 122
Electronic total energy in eV for the cell shown: -37.82
Formation energy from the elements in eV per atom: 1.0310
Mass density in Mg/m³: 8.60

=====

(4)
Density functional theory data (GGA-PBE) for crystalline SnMoRu2I at its relaxed geometry.

a = 4.8203 Å, b = 4.9348 Å, c = 4.8203 Å
α = 90.00°, β = 90.00°, γ = 90.00°
Fractional positions:
Ru1 0.5000 0.0000 0.0000
Ru2 0.0000 0.0000 0.5000
Sn1 0.5000 0.5000 0.5000
I1 0.0000 0.0000 0.0000
Mo1 0.0000 0.5000 0.0000

Summary:
D(E_F) in states/eV/atom: 1.031
Spin magnetization in μB per formula unit: 0.893
Space group: No. 123
Electronic total energy in eV for the cell shown: -26.48
Mass density in Mg/m³: 7.87
E_form (uncorrected) in meV per atom: 1691